Entry 1:
! NbNi2W PBE relaxed; values from VASP
! E = -8.488 eV per atom
! Formation enthalpy at 0 K = 0.158 eV per atom
! Excess energy over the best structure of this formula in the dataset = 205 meV/atom
! Size of the total moment = 0.000 μB/atom
! SG = No. 225
&SYSTEM
  ibrav = 0, nat = 4, ntyp = 3
/
ATOMIC_SPECIES
W 183.84 W.upf
Ni 58.69 Ni.upf
Nb 92.91 Nb.upf
ATOMIC_POSITIONS crystal
W 0.5000 0.5000 0.5000
Ni 0.7500 0.7500 0.7500
Nb 0.0000 0.0000 0.0000
Ni 0.2500 0.2500 0.2500
CELL_PARAMETERS angstrom
3.4789 -2.5016 -0.4208
2.4492 -0.8763 3.4310
0.0158 -3.9653 1.6775


Entry 2:
! MgSc4Al3 PBE relaxed; values from VASP
! E = -5.142 eV per atom
! Formation enthalpy at 0 K = -0.373 eV per atom
! Size of the total moment = 0.000 μB/atom
! SG = No. 123
&SYSTEM
  ibrav = 0, nat = 16, ntyp = 3
/
ATOMIC_SPECIES
Sc 44.96 Sc.upf
Al 26.98 Al.upf
Mg 24.30 Mg.upf
ATOMIC_POSITIONS crystal
Sc 0.5000 0.7549 0.5000
Sc 0.9993 0.7549 0.2500
Al 0.4991 0.5000 0.2500
Al 0.0000 0.0000 0.0000
Sc 0.9993 0.2451 0.2500
Sc 0.5000 0.2451 0.5000
Sc 0.5000 0.2451 0.0000
Al 0.5009 0.5000 0.7500
Mg 0.0000 0.5000 0.5000
Al 0.5010 0.0000 0.7500
Mg 0.0000 0.5000 0.0000
Sc 0.0007 0.7549 0.7500
Al 0.0000 0.0000 0.5000
Sc 0.5000 0.7549 0.0000
Sc 0.0007 0.2451 0.7500
Al 0.4990 0.0000 0.2500
CELL_PARAMETERS angstrom
4.8382 0.0000 0.0000
0.0000 6.8431 0.0000
0.0000 0.0000 9.6733


Entry 3:
! LiScBi3 PBE relaxed; values from VASP
! E = -3.861 eV per atom
! Formation enthalpy at 0 K = 0.117 eV per atom
! Excess energy over the best structure of this formula in the dataset = 94 meV/atom
! Size of the total moment = 0.000 μB/atom
! SG = No. 221
&SYSTEM
  ibrav = 0, nat = 5, ntyp = 3
/
ATOMIC_SPECIES
Bi 208.98 Bi.upf
Sc 44.96 Sc.upf
Li 6.94 Li.upf
ATOMIC_POSITIONS crystal
Bi 0.0000 0.0000 0.5000
Sc 0.5000 0.5000 0.5000
Bi 0.5000 0.0000 0.0000
Li 0.0000 0.0000 0.0000
Bi 0.0000 0.5000 0.0000
CELL_PARAMETERS angstrom
5.1860 0.0000 0.0000
0.0000 5.1860 0.0000
0.0000 0.0000 5.1860


Entry 4:
! LaAgI4 PBE relaxed; values from VASP
! Uncorrected formation energy = -568 kJ/mol of formula units
! E = -3.311 eV per atom
! Excess energy over the best structure of this formula in the dataset = 72 meV/atom
! Size of the total moment = 0.000 μB/atom
! SG = No. 15
&SYSTEM
  ibrav = 0, nat = 12, ntyp = 3
/
ATOMIC_SPECIES
I 126.90 I.upf
Ag 107.87 Ag.upf
La 138.91 La.upf
ATOMIC_POSITIONS crystal
I 0.5193 0.2603 0.8343
I 0.4807 0.7397 0.1657
I 0.1298 0.3145 0.2368
I 0.9807 0.1657 0.7397
Ag 0.2500 0.3829 0.6171
I 0.0193 0.8343 0.2603
I 0.8702 0.6855 0.7632
La 0.7500 0.9951 0.0049
La 0.2500 0.0049 0.9951
I 0.3702 0.7632 0.6855
Ag 0.7500 0.6171 0.3829
I 0.6298 0.2368 0.3145
CELL_PARAMETERS angstrom
8.0583 -0.7042 -1.1891
-1.4968 7.7840 -1.1784
-0.8615 -0.3746 7.9585


Entry 5:
! AcIn2GaRh2 PBE relaxed; values from VASP
! E = -4.994 eV per atom
! Formation enthalpy at 0 K = -0.441 eV per atom
! Size of the total moment = 0.000 μB/atom
! SG = No. 123
&SYSTEM
  ibrav = 0, nat = 6, ntyp = 4
/
ATOMIC_SPECIES
Rh 102.91 Rh.upf
In 114.82 In.upf
Ga 69.72 Ga.upf
Ac 227.00 Ac.upf
ATOMIC_POSITIONS crystal
Rh 0.0000 0.5000 0.0000
In 0.5000 0.5000 0.7476
In 0.5000 0.5000 0.2524
Ga 0.0000 0.0000 0.0000
Ac 0.0000 0.0000 0.5000
Rh 0.5000 0.0000 0.0000
CELL_PARAMETERS angstrom
-1.9936 -3.4603 2.5362
-1.2478 -2.2080 -3.9934
5.3804 -3.0827 0.0233


Entry 6:
! Ca2YCu PBE relaxed; values from VASP
! E = -3.433 eV per atom
! Formation enthalpy at 0 K = 0.208 eV per atom
! Excess energy over the best structure of this formula in the dataset = 259 meV/atom
! Size of the total moment = 0.000 μB/atom
! SG = No. 122
&SYSTEM
  ibrav = 0, nat = 8, ntyp = 3
/
ATOMIC_SPECIES
Ca 40.08 Ca.upf
Cu 63.55 Cu.upf
Y 88.91 Y.upf
ATOMIC_POSITIONS crystal
Ca 0.3750 0.4581 0.7500
Cu 0.5000 0.5000 0.0000
Y 0.0000 0.0000 0.0000
Ca 0.2081 0.6250 0.2500
Y 0.7500 0.2500 0.5000
Ca 0.5419 0.1250 0.2500
Ca 0.8750 0.7919 0.7500
Cu 0.2500 0.7500 0.5000
CELL_PARAMETERS angstrom
9.0368 0.0000 0.0000
0.0000 9.0368 0.0000
4.5184 4.5184 3.0747


Entry 7:
! BaTb2Ga PBE relaxed; values from VASP
! E = -3.556 eV per atom
! Formation enthalpy at 0 K = -0.004 eV per atom
! Excess energy over the best structure of this formula in the dataset = 154 meV/atom
! Size of the total moment = 0.040 μB/atom
! SG = No. 166
&SYSTEM
  ibrav = 0, nat = 4, ntyp = 3
/
ATOMIC_SPECIES
Ga 69.72 Ga.upf
Tb 158.93 Tb.upf
Ba 137.33 Ba.upf
ATOMIC_POSITIONS crystal
Ga 0.5000 0.5000 0.5000
Tb 0.1070 0.1070 0.6791
Ba 0.0000 0.0000 0.0000
Tb 0.8930 0.8930 0.3209
CELL_PARAMETERS angstrom
-3.3809 0.7029 1.3325
-2.9739 -1.5019 -1.6126
-1.2758 -9.4083 6.8670


Entry 8:
! ZnH3Rh PBE relaxed; values from VASP
! E = -3.732 eV per atom
! Size of the total moment = 0.000 μB/atom
! SG = No. 11
&SYSTEM
  ibrav = 0, nat = 10, ntyp = 3
/
ATOMIC_SPECIES
H 1.01 H.upf
Rh 102.91 Rh.upf
Zn 65.41 Zn.upf
ATOMIC_POSITIONS crystal
H 0.8399 0.2037 0.5846
H 0.1944 0.1915 0.9760
H 0.1944 0.7037 0.9760
H 0.7308 0.4476 0.1225
Rh 0.8380 0.4476 0.8638
Rh 0.1964 0.9476 0.6968
Zn 0.2208 0.4476 0.4303
H 0.3035 0.9476 0.4381
Zn 0.8136 0.9476 0.1303
H 0.8399 0.6915 0.5846
CELL_PARAMETERS angstrom
-4.1393 0.7254 -0.4206
-0.5863 -4.0655 -1.2418
1.6908 -1.7074 4.7913


Entry 9:
! CrGaCu PBE relaxed; values from VASP
! E = -5.521 eV per atom
! Formation enthalpy at 0 K = 0.061 eV per atom
! Size of the total moment = 0.067 μB/atom
! SG = No. 12
&SYSTEM
  ibrav = 0, nat = 6, ntyp = 3
/
ATOMIC_SPECIES
Cr 52.00 Cr.upf
Ga 69.72 Ga.upf
Cu 63.55 Cu.upf
ATOMIC_POSITIONS crystal
Cr 0.1499 0.2998 0.9433
Ga 0.4118 0.8235 0.7515
Cr 0.8501 0.7002 0.0567
Cu 0.6711 0.3421 0.6160
Cu 0.3289 0.6579 0.3840
Ga 0.5882 0.1765 0.2485
CELL_PARAMETERS angstrom
2.8025 0.0000 0.0000
-1.4013 4.1889 0.2665
0.0000 -1.2186 6.7921


Entry 10:
! La3GaSn3 PBE relaxed; values from VASP
! E = -4.993 eV per atom
! Formation enthalpy at 0 K = -0.733 eV per atom
! Size of the total moment = 0.000 μB/atom
! SG = No. 12
&SYSTEM
  ibrav = 0, nat = 14, ntyp = 3
/
ATOMIC_SPECIES
Sn 118.71 Sn.upf
Ga 69.72 Ga.upf
La 138.91 La.upf
ATOMIC_POSITIONS crystal
Sn 0.1168 0.8431 0.9232
Ga 0.2298 0.9138 0.6266
Sn 0.1472 0.2454 0.4601
La 0.2697 0.2283 0.2323
La 0.3929 0.2917 0.9225
Sn 0.8528 0.7546 0.5399
La 0.5153 0.3498 0.6197
Sn 0.9950 0.7822 0.2277
La 0.7303 0.7717 0.7677
Sn 0.0050 0.2178 0.7723
La 0.4847 0.6502 0.3803
La 0.6071 0.7083 0.0775
Ga 0.7702 0.0862 0.3734
Sn 0.8832 0.1569 0.0768
CELL_PARAMETERS angstrom
4.5961 0.0000 0.6923
2.2445 5.9689 0.7016
0.0705 0.3933 15.1338


Entry 11:
! Li2Er2InPd5 PBE relaxed; values from VASP
! E = -4.861 eV per atom
! Formation enthalpy at 0 K = -0.695 eV per atom
! Size of the total moment = 0.000 μB/atom
! SG = No. 127
&SYSTEM
  ibrav = 0, nat = 20, ntyp = 4
/
ATOMIC_SPECIES
Pd 106.42 Pd.upf
Er 167.26 Er.upf
In 114.82 In.upf
Li 6.94 Li.upf
ATOMIC_POSITIONS crystal
Pd 0.5000 0.9301 0.2100
Er 0.0000 0.1771 0.3229
Pd 0.5000 0.5699 0.7100
In 0.0000 0.5000 0.5000
In 0.0000 0.0000 0.0000
Pd 0.5000 0.7900 0.9301
Pd 0.5000 0.0699 0.7900
Li 0.0000 0.3795 0.1205
Pd 0.5000 0.7100 0.4301
Er 0.0000 0.6771 0.1771
Pd 0.5000 0.2100 0.0699
Pd 0.5000 0.4301 0.2900
Li 0.0000 0.8795 0.3795
Er 0.0000 0.3229 0.8229
Pd 0.5000 0.0000 0.5000
Pd 0.5000 0.5000 0.0000
Er 0.0000 0.8229 0.6771
Li 0.0000 0.1205 0.6205
Li 0.0000 0.6205 0.8795
Pd 0.5000 0.2900 0.5699
CELL_PARAMETERS angstrom
3.6815 0.0000 0.0000
0.0000 9.6158 0.0000
0.0000 0.0000 9.6158


Entry 12:
! AcInRu PBE relaxed; values from VASP
! E = -5.470 eV per atom
! Formation enthalpy at 0 K = -0.096 eV per atom
! Excess energy over the best structure of this formula in the dataset = 183 meV/atom
! Size of the total moment = 0.000 μB/atom
! SG = No. 160
&SYSTEM
  ibrav = 0, nat = 6, ntyp = 3
/
ATOMIC_SPECIES
In 114.82 In.upf
Ru 101.07 Ru.upf
Ac 227.00 Ac.upf
ATOMIC_POSITIONS crystal
In 0.5941 0.5941 0.2176
In 0.4231 0.4231 0.7306
Ru 0.7633 0.7633 0.7102
Ac 0.0109 0.0109 0.9674
Ru 0.2794 0.2794 0.1617
Ac 0.1691 0.1691 0.4927
CELL_PARAMETERS angstrom
4.6453 0.0000 0.0000
2.3227 4.0230 0.0000
2.3227 1.3410 8.9550


Entry 13:
! AgTe2Mo PBE relaxed; values from VASP
! Uncorrected formation energy = 126 kJ/mol of formula units
! E = -4.664 eV per atom
! Excess energy over the best structure of this formula in the dataset = 224 meV/atom
! Size of the total moment = 0.308 μB/atom
! SG = No. 122
&SYSTEM
  ibrav = 0, nat = 8, ntyp = 3
/
ATOMIC_SPECIES
Te 127.60 Te.upf
Ag 107.87 Ag.upf
Mo 95.94 Mo.upf
ATOMIC_POSITIONS crystal
Te 0.8750 0.8529 0.7500
Te 0.3750 0.3971 0.7500
Ag 0.0000 0.0000 0.0000
Ag 0.7500 0.2500 0.5000
Te 0.1471 0.6250 0.2500
Mo 0.2500 0.7500 0.5000
Mo 0.5000 0.5000 0.0000
Te 0.6029 0.1250 0.2500
CELL_PARAMETERS angstrom
-1.2259 -4.9922 -3.7486
3.7877 -3.6314 3.5975
-3.5034 -5.7951 3.4645


Entry 14:
! Ca2MgTl5 PBE relaxed; values from VASP
! E = -2.210 eV per atom
! Formation enthalpy at 0 K = -0.032 eV per atom
! Excess energy over the best structure of this formula in the dataset = 204 meV/atom
! Size of the total moment = 0.000 μB/atom
! SG = No. 123
&SYSTEM
  ibrav = 0, nat = 8, ntyp = 3
/
ATOMIC_SPECIES
Ca 40.08 Ca.upf
Tl 204.38 Tl.upf
Mg 24.30 Mg.upf
ATOMIC_POSITIONS crystal
Ca 0.5000 0.0000 0.5000
Tl 0.5000 0.0000 0.0000
Tl 0.0000 0.2872 0.2872
Tl 0.0000 0.7128 0.2872
Tl 0.0000 0.2872 0.7128
Tl 0.0000 0.7128 0.7128
Mg 0.0000 0.0000 0.0000
Ca 0.5000 0.5000 0.0000
CELL_PARAMETERS angstrom
5.2636 0.0000 0.0000
0.0000 7.0726 0.0000
0.0000 0.0000 7.0727


Entry 15:
! Ca3Pm4Rh4 PBE relaxed; values from VASP
! E = -5.391 eV per atom
! Formation enthalpy at 0 K = -0.444 eV per atom
! Size of the total moment = 0.000 μB/atom
! SG = No. 71
&SYSTEM
  ibrav = 0, nat = 11, ntyp = 3
/
ATOMIC_SPECIES
Rh 102.91 Rh.upf
Pm 145.00 Pm.upf
Ca 40.08 Ca.upf
ATOMIC_POSITIONS crystal
Rh 0.5000 0.1679 0.0000
Rh 0.5000 0.8321 0.0000
Pm 0.6629 0.4583 0.3258
Ca 0.0000 0.5000 0.0000
Pm 0.3371 0.5417 0.6742
Ca 0.1045 0.1045 0.2089
Pm 0.6629 0.8676 0.3258
Ca 0.8955 0.8955 0.7911
Rh 0.7804 0.2804 0.5607
Pm 0.3371 0.1324 0.6742
Rh 0.2196 0.7196 0.4393
CELL_PARAMETERS angstrom
-3.1930 -2.2394 -1.9039
-0.3919 -5.1180 6.6772
-3.4871 8.3959 0.9192


Entry 16:
! Dy2ErThSc PBE relaxed; values from VASP
! E = -5.207 eV per atom
! Formation enthalpy at 0 K = 0.297 eV per atom
! Size of the total moment = 0.000 μB/atom
! SG = No. 51
&SYSTEM
  ibrav = 0, nat = 10, ntyp = 4
/
ATOMIC_SPECIES
Sc 44.96 Sc.upf
Th 232.04 Th.upf
Er 167.26 Er.upf
Dy 162.50 Dy.upf
ATOMIC_POSITIONS crystal
Sc 0.0000 0.0000 0.5000
Th 0.5930 0.0000 0.2500
Sc 0.0000 0.0000 0.0000
Er 0.1846 0.5000 0.7500
Er 0.8154 0.5000 0.2500
Th 0.4070 0.0000 0.7500
Dy 0.2786 0.7071 0.2500
Dy 0.7214 0.7071 0.7500
Dy 0.7214 0.2929 0.7500
Dy 0.2786 0.2929 0.2500
CELL_PARAMETERS angstrom
-4.0217 -4.5240 2.6418
2.8956 -5.3428 -4.7413
4.2964 -1.3794 4.1785


Entry 17:
! MnAsS2N PBE relaxed; values from VASP
! Uncorrected formation energy = 167 kJ/mol of formula units
! E = -5.735 eV per atom
! Excess energy over the best structure of this formula in the dataset = 0 meV/atom
! Size of the total moment = 0.346 μB/atom
! SG = No. 123
&SYSTEM
  ibrav = 0, nat = 5, ntyp = 4
/
ATOMIC_SPECIES
S 32.06 S.upf
Mn 54.94 Mn.upf
As 74.92 As.upf
N 14.01 N.upf
ATOMIC_POSITIONS crystal
S 0.5000 0.0000 0.0000
Mn 0.0000 0.0000 0.0000
As 0.5000 0.5000 0.5000
S 0.0000 0.5000 0.0000
N 0.0000 0.0000 0.5000
CELL_PARAMETERS angstrom
4.6920 0.0000 0.0000
0.0000 4.6920 0.0000
0.0000 0.0000 3.4793


Entry 18:
! HoEr2Th6 PBE relaxed; values from VASP
! E = -6.166 eV per atom
! Formation enthalpy at 0 K = 0.304 eV per atom
! Excess energy over the best structure of this formula in the dataset = 223 meV/atom
! Size of the total moment = 0.000 μB/atom
! SG = No. 12
&SYSTEM
  ibrav = 0, nat = 9, ntyp = 3
/
ATOMIC_SPECIES
Er 167.26 Er.upf
Th 232.04 Th.upf
Ho 164.93 Ho.upf
ATOMIC_POSITIONS crystal
Er 0.7114 0.7046 0.4093
Er 0.2886 0.2954 0.5907
Th 0.7980 0.1642 0.8525
Th 0.2020 0.3116 0.1475
Th 0.2020 0.8358 0.1475
Th 0.3572 0.6739 0.3478
Ho 0.0000 0.0000 0.0000
Th 0.7980 0.6884 0.8525
Th 0.6428 0.3261 0.6522
CELL_PARAMETERS angstrom
-5.2692 -3.2132 6.8092
-3.3897 -4.1096 -4.5623
1.5213 -3.3898 7.3143


Entry 19:
! Mg12Ge3N5 PBE relaxed; values from VASP
! Uncorrected formation energy = -754 kJ/mol of formula units
! E = -4.122 eV per atom
! Size of the total moment = 0.000 μB/atom
! SG = No. 230
&SYSTEM
  ibrav = 0, nat = 80, ntyp = 3
/
ATOMIC_SPECIES
Mg 24.30 Mg.upf
N 14.01 N.upf
Ge 72.64 Ge.upf
ATOMIC_POSITIONS crystal
Mg 0.5962 0.9838 0.6805
N 0.3750 0.1250 0.7500
Mg 0.0843 0.1805 0.1966
N 0.1250 0.7500 0.3750
Mg 0.5843 0.6966 0.6805
Ge 0.8750 0.1250 0.2500
N 0.6250 0.8750 0.2500
Mg 0.4838 0.6805 0.0962
Ge 0.1250 0.8750 0.7500
Mg 0.9157 0.0962 0.6124
Ge 0.3750 0.7500 0.6250
Ge 0.6250 0.2500 0.3750
Mg 0.1124 0.6966 0.5162
Mg 0.0843 0.9038 0.3876
N 0.8750 0.2500 0.6250
Mg 0.3876 0.4038 0.0843
Mg 0.9038 0.8195 0.5162
N 0.5000 0.0000 0.0000
N 0.2500 0.8750 0.1250
N 0.0000 0.0000 0.0000
Mg 0.9838 0.3876 0.3034
Mg 0.4038 0.3876 0.5843
Mg 0.0162 0.6124 0.6966
Mg 0.4157 0.3034 0.3195
Mg 0.1124 0.4157 0.0962
Ge 0.2500 0.1250 0.3750
N 0.7500 0.6250 0.3750
Mg 0.5162 0.1966 0.1124
Mg 0.8876 0.3034 0.4838
Ge 0.1250 0.2500 0.8750
Mg 0.0962 0.9157 0.1124
Ge 0.3750 0.6250 0.2500
N 0.0000 0.5000 0.5000
Mg 0.8034 0.3195 0.9157
Mg 0.8195 0.9038 0.0162
Mg 0.1805 0.0962 0.9838
Mg 0.9038 0.0843 0.8876
Mg 0.8876 0.5843 0.9038
N 0.3750 0.2500 0.1250
Mg 0.4038 0.0162 0.3195
N 0.2500 0.3750 0.6250
N 0.1250 0.3750 0.2500
Mg 0.0162 0.4038 0.8195
Mg 0.5843 0.8876 0.4038
Ge 0.7500 0.3750 0.1250
N 0.5000 0.5000 0.5000
Mg 0.6966 0.5843 0.1805
N 0.8750 0.6250 0.7500
Ge 0.8750 0.7500 0.1250
Mg 0.3876 0.9838 0.8034
Mg 0.3034 0.8876 0.9838
Mg 0.5962 0.6124 0.4157
N 0.0000 0.5000 0.0000
N 0.0000 0.0000 0.5000
Mg 0.8195 0.9157 0.3034
Ge 0.2500 0.6250 0.8750
Mg 0.0962 0.1805 0.4838
N 0.6250 0.7500 0.8750
Mg 0.6124 0.0162 0.1966
Mg 0.3034 0.4157 0.8195
Mg 0.9838 0.5962 0.1805
Mg 0.6124 0.5962 0.9157
Ge 0.6250 0.3750 0.7500
Mg 0.8034 0.4838 0.3876
N 0.7500 0.1250 0.8750
Mg 0.1805 0.0843 0.6966
Mg 0.6966 0.1124 0.0162
Mg 0.6805 0.4838 0.5962
Mg 0.3195 0.8034 0.4157
Ge 0.7500 0.8750 0.6250
Mg 0.4838 0.8034 0.8876
N 0.5000 0.5000 0.0000
Mg 0.3195 0.5162 0.4038
Mg 0.1966 0.5162 0.6124
Mg 0.5162 0.3195 0.9038
Mg 0.9157 0.8195 0.8034
Mg 0.6805 0.1966 0.5843
Mg 0.4157 0.1124 0.5962
Mg 0.1966 0.6805 0.0843
N 0.5000 0.0000 0.5000
CELL_PARAMETERS angstrom
-3.2088 1.6310 11.4598
-3.5254 -10.8928 -3.6337
11.9397 0.8775 -0.9785


Entry 20:
! DyHfCu4 PBE relaxed; values from VASP
! E = -5.332 eV per atom
! Formation enthalpy at 0 K = -0.176 eV per atom
! Excess energy over the best structure of this formula in the dataset = 0 meV/atom
! Size of the total moment = 0.000 μB/atom
! SG = No. 47
&SYSTEM
  ibrav = 0, nat = 6, ntyp = 3
/
ATOMIC_SPECIES
Dy 162.50 Dy.upf
Cu 63.55 Cu.upf
Hf 178.49 Hf.upf
ATOMIC_POSITIONS crystal
Dy 0.9986 0.9973 0.4981
Cu 0.4986 0.9973 0.8371
Cu 0.4986 0.4973 0.3238
Cu 0.4986 0.9973 0.1592
Hf 0.9985 0.4973 0.9981
Cu 0.4986 0.4973 0.6725
CELL_PARAMETERS angstrom
-2.1850 1.1741 -1.9552
0.8894 -3.0814 -2.8444
-5.0917 -4.3248 3.0932